Density functional theory data (PBE) for PS3I after structural relaxation.

The structure in POSCAR format:
```
PS3I
1.0
6.8934 -0.0273 -0.0079
0.0184 6.1577 -0.3051
-0.0013 -0.4659 8.8965
P S I
2 6 2
direct
0.7624 0.9338 0.3001
0.2625 0.4191 0.7981
0.5400 0.4183 0.7929
0.6089 0.0485 0.1327
0.1013 0.5351 0.6356
0.0401 0.9361 0.3033
0.1121 0.3036 0.9667
0.6043 0.8170 0.4638
0.6062 0.4329 0.2973
0.1059 0.9196 0.8019
```

Values from the calculation:
Energy above the most stable polymorph in this dataset = 0.0000 eV/atom
Symmetry = No. 1